No. 1
Crystalline KRe2Se at its relaxed geometry. Source: Alexandria via LeMat-Bulk, functional PBE.

It has space group P4/mmm (No. 123), with a = 3.844 Å, b = 3.844 Å, c = 5.170 Å, α = 90.00°, β = 90.00° and γ = 90.00°. Symmetry generates all atoms from K at (0.000, 0.000, 0.000), Re at (0.000, 0.500, 0.500) and Se at (0.500, 0.500, 0.000).

The raw formation energy comes out at 539 kJ/mol of formula units. The calculation puts the volume at 19.10 Å³/atom. The density of states at the Fermi level is 2.76 states/eV/f.u.

***

No. 2
Crystalline KRe2Se at its relaxed geometry. Source: Alexandria via LeMat-Bulk, functional PBE.

It has space group Amm2 (No. 38), with a = 2.918 Å, b = 3.581 Å, c = 16.776 Å, α = 90.00°, β = 90.00° and γ = 90.00°. Symmetry generates all atoms from K at (0.000, 0.000, 0.000), Re at (0.000, 0.000, 0.761), Re at (0.500, 0.000, 0.333) and Se at (0.500, 0.000, 0.640).

The raw formation energy comes out at 124 kJ/mol of formula units. The calculation puts the volume at 21.91 Å³/atom. The density of states at the Fermi level is 1.99 states/eV/f.u.